Density functional theory data (PBE) for a geometry-optimized Co3SiN structure.

Properties
The calculation puts the density of states at the Fermi level at 0.8735 states/eV/atom. The value obtained for the energy relative to the elements, uncorrected is -0.039 eV per atom. The space-group type is Pm-3m. The value obtained for the offset from the most stable computed form is 0.000 eV per atom.

abc: 3.7203 3.7203 3.7203
angles: 90.00 90.00 90.00
With the nearest neighbours (Å) after each atom.
Atoms (fractional coordinates):
Co 0.0000 0.0000 0.5000  2 N 1.86
Co 0.0000 0.5000 0.0000  2 N 1.86
Co 0.5000 0.0000 0.0000  2 N 1.86
Si 0.5000 0.5000 0.5000  12 Co 2.63
N 0.0000 0.0000 0.0000  6 Co 1.86